Here is a relaxed structure of ZnBIr2 from the Alexandria database. Energies are from PBE-GGA.

Distance to the lowest polymorph of the same formula ... 217 meV/atom
Calculated density ... 15.610 g/cm3
ΔE_f ... -0.183 eV per formula unit

Structure (POSCAR):
```
ZnBIr2
1.0
2.7713 0.0000 0.0000
0.0000 2.7713 0.0000
0.0000 0.0000 6.3805
Zn Ir B
1 2 1
direct
0.5000 0.5000 0.5000
0.0000 0.0000 0.7948
0.0000 0.0000 0.2052
0.5000 0.5000 0.0000
```

***

Here is a relaxed structure of GaTe2As from the Alexandria database. Energies are from PBE-GGA.

Distance to the lowest polymorph of the same formula ... 217 meV/atom
Calculated density ... 5.078 g/cm3
E_form (uncorrected) ... 4.37 kcal/mol of atoms

Structure (POSCAR):
```
GaTe2As
1.0
2.3136 0.0000 9.4021
-1.1568 2.0037 9.4021
-1.1568 -2.0037 9.4021
As Te Ga
1 2 1
direct
0.5000 0.5000 0.5000
0.8941 0.8941 0.8941
0.1059 0.1059 0.1059
0.0000 0.0000 0.0000
```

***

Here is a relaxed structure of RbCuBiF6 from the Alexandria database. Energies are from PBE-GGA.

Calculated density ... 4.455 g/cm3
E_form (uncorrected) ... -50.76 kcal/mol of atoms

Structure (POSCAR):
```
RbCuBiF6
1.0
-3.0019 -4.7757 1.6738
3.7924 -0.3317 -4.4865
8.6032 -2.7869 7.4782
Rb Cu Bi F
2 2 2 12
direct
0.0000 0.0000 0.0000
0.0000 0.0000 0.5000
0.6667 0.3333 0.2500
0.3333 0.6667 0.7500
0.3333 0.6667 0.2500
0.6667 0.3333 0.7500
0.6347 0.6065 0.1512
0.9718 0.3653 0.1512
0.3653 0.9718 0.6512
0.0282 0.6347 0.8488
0.3935 0.3653 0.3488
0.9718 0.6065 0.3488
0.6065 0.9718 0.8488
0.6347 0.0282 0.3488
0.0282 0.3935 0.6512
0.3935 0.0282 0.1512
0.6065 0.6347 0.6512
0.3653 0.3935 0.8488
```

***

Here is a relaxed structure of GeSbBr2 from the Alexandria database. Energies are from PBE-GGA.

Distance to the lowest polymorph of the same formula ... 143 meV/atom
Calculated density ... 5.259 g/cm3
E_form (uncorrected) ... 3.30 kcal/mol of atoms

Structure (POSCAR):
```
GeSbBr2
1.0
8.2096 0.0000 0.0000
0.0000 8.2096 0.0000
4.1048 4.1048 3.3186
Sb Ge Br
2 2 4
direct
0.0000 0.0000 0.0000
0.7500 0.2500 0.5000
0.5000 0.5000 0.0000
0.2500 0.7500 0.5000
0.6035 0.1250 0.2500
0.1465 0.6250 0.2500
0.3750 0.3965 0.7500
0.8750 0.8535 0.7500
```

***

Here is a relaxed structure of NiSbP2 from the Alexandria database. Energies are from PBE-GGA.

Calculated density ... 5.758 g/cm3
E_form (uncorrected) ... 1.12 kcal/mol of atoms

Structure (POSCAR):
```
NiSbP2
1.0
-1.2452 3.0607 -6.3627
-2.9449 0.0954 -6.5361
-4.3570 2.7877 -4.9647
Ni P Sb
1 2 1
direct
0.7500 0.7500 0.7500
0.0291 0.0291 0.0291
0.4709 0.4709 0.4709
0.2500 0.2500 0.2500
```

***

Here is a relaxed structure of Ga2PbWCl from the Alexandria database. Energies are from PBE-GGA.

Calculated density ... 7.764 g/cm3
E_form (uncorrected) ... 9.48 kcal/mol of atoms

Structure (POSCAR):
```
Ga2PbWCl
1.0
5.1514 0.0000 0.0000
0.0000 4.5612 0.0000
0.0000 0.0000 5.1514
Pb Ga W Cl
1 2 1 1
direct
0.5000 0.5000 0.5000
0.0000 0.0000 0.5000
0.5000 0.0000 0.0000
0.0000 0.0000 0.0000
0.0000 0.5000 0.0000
```

***

Here is a relaxed structure of CeSmDyPa from the Alexandria database. Energies are from PBE-GGA.

Calculated density ... 9.389 g/cm3
ΔE_f ... 1.547 eV per formula unit

Structure (POSCAR):
```
CeSmDyPa
1.0
5.5513 0.0000 0.0000
2.7757 4.8076 0.0000
2.7757 1.6025 4.5326
Pa Ce Sm Dy
1 1 1 1
direct
0.0000 0.0000 0.0000
0.2500 0.2500 0.2500
0.7500 0.7500 0.7500
0.5000 0.5000 0.5000
```

***

Here is a relaxed structure of SbSeF2 from the Alexandria database. Energies are from PBE-GGA.

Distance to the lowest polymorph of the same formula ... 0 meV/atom
Calculated density ... 5.522 g/cm3
E_form (uncorrected) ... -24.09 kcal/mol of atoms

Structure (POSCAR):
```
SbSeF2
1.0
-3.8213 -0.7130 1.7079
0.2082 -4.0589 -1.2288
1.6425 -4.3031 7.1565
Sb Se F
2 2 4
direct
0.0000 0.0000 0.0000
0.7500 0.2500 0.5000
0.5000 0.5000 0.0000
0.2500 0.7500 0.5000
0.7180 0.1250 0.2500
0.0320 0.6250 0.2500
0.3750 0.2820 0.7500
0.8750 0.9680 0.7500
```

***

Here is a relaxed structure of Ba2SrAu from the Alexandria database. Energies are from PBE-GGA.

Distance to the lowest polymorph of the same formula ... 336 meV/atom
Calculated density ... 6.134 g/cm3
ΔE_f ... -0.264 eV per formula unit

Structure (POSCAR):
```
Ba2SrAu
1.0
5.9824 0.0000 0.0000
2.9912 5.1809 0.0000
2.9912 1.7270 4.8846
Au Ba Sr
1 2 1
direct
0.5000 0.5000 0.5000
0.0000 0.0000 0.0000
0.2500 0.2500 0.2500
0.7500 0.7500 0.7500
```

***

Here is a relaxed structure of CaPrCdSn from the Alexandria database. Energies are from PBE-GGA.

Distance to the lowest polymorph of the same formula ... 0 meV/atom
Calculated density ... 5.905 g/cm3
ΔE_f ... -2.148 eV per formula unit

Structure (POSCAR):
```
CaPrCdSn
1.0
4.2154 0.0000 0.0000
0.0000 5.1510 0.0000
0.0000 0.0000 5.3368
Ca Pr Cd Sn
1 1 1 1
direct
0.0000 0.5000 0.5000
0.0000 0.0000 0.0000
0.5000 0.0000 0.5000
0.5000 0.5000 0.0000
```

***

Here is a relaxed structure of PmErPb2 from the Alexandria database. Energies are from PBE-GGA.

Calculated density ... 10.067 g/cm3
ΔE_f ... -1.954 eV per formula unit

Structure (POSCAR):
```
PmErPb2
1.0
4.2751 0.0000 -1.5524
0.0000 4.4802 0.0000
-0.1232 0.0000 6.3028
Pm Er Pb
1 1 2
direct
0.7119 0.0000 0.9651
0.4538 0.5000 0.4444
0.1813 0.5000 0.9041
0.9840 0.0000 0.5043
```

***

Here is a relaxed structure of LaEu2Pd from the Alexandria database. Energies are from PBE-GGA.

Distance to the lowest polymorph of the same formula ... 55 meV/atom
Calculated density ... 6.638 g/cm3
ΔE_f ... -0.943 eV per formula unit

Structure (POSCAR):
```
LaEu2Pd
1.0
-2.7846 2.2828 1.6590
-3.8238 -1.0025 -0.3017
-1.4803 -4.9007 8.9956
Eu Pd La
2 1 1
direct
0.2272 0.2272 0.3185
0.7728 0.7728 0.6815
0.5000 0.5000 0.5000
0.0000 0.0000 0.0000
```

***

Here is a relaxed structure of Cs4PO5 from the Alexandria database. Energies are from PBE-GGA.

Calculated density ... 4.654 g/cm3
E_form (uncorrected) ... -36.75 kcal/mol of atoms

Structure (POSCAR):
```
Cs4PO5
1.0
5.9687 0.0000 0.0000
2.9844 6.1976 0.0000
2.9844 0.0000 6.1976
Cs P O
4 1 5
direct
0.4241 0.3906 0.8106
0.8147 0.8106 0.6095
0.2347 0.1894 0.3906
0.6252 0.6095 0.1894
0.0703 0.0000 0.0000
0.9404 0.2371 0.8839
0.1775 0.8839 0.7629
0.8243 0.1161 0.2371
0.0614 0.7629 0.1161
0.3377 0.0000 0.0000
```

***

Here is a relaxed structure of LiSmHoSc from the Alexandria database. Energies are from PBE-GGA.

Calculated density ... 5.591 g/cm3
ΔE_f ... 0.601 eV per formula unit

Structure (POSCAR):
```
LiSmHoSc
1.0
5.3629 0.0000 0.0000
2.6814 4.6444 0.0000
2.6814 1.5481 4.3788
Sc Ho Sm Li
1 1 1 1
direct
0.7500 0.7500 0.7500
0.5000 0.5000 0.5000
0.0000 0.0000 0.0000
0.2500 0.2500 0.2500
```

***

Here is a relaxed structure of Pr2Ho2Tl3 from the Alexandria database. Energies are from PBE-GGA.

Distance to the lowest polymorph of the same formula ... 4 meV/atom
Calculated density ... 9.631 g/cm3
ΔE_f ... -1.614 eV per formula unit

Structure (POSCAR):
```
Pr2Ho2Tl3
1.0
3.5439 0.0000 0.4703
0.0000 3.6139 0.0000
-0.3786 0.0000 16.4396
Pr Ho Tl
2 2 3
direct
0.5702 0.5000 0.8596
0.4298 0.5000 0.1404
0.7029 0.5000 0.5942
0.2971 0.5000 0.4058
0.8594 0.0000 0.2813
0.0000 0.0000 0.0000
0.1406 0.0000 0.7187
```

***

Here is a relaxed structure of Pr8Y3Er2 from the Alexandria database. Energies are from PBE-GGA.

Calculated density ... 6.201 g/cm3
ΔE_f ... 2.543 eV per formula unit

Structure (POSCAR):
```
Pr8Y3Er2
1.0
5.7464 0.0000 0.7665
0.0000 7.7866 0.0000
-1.3592 -3.8933 10.1632
Pr Y Er
8 3 2
direct
0.0006 0.6745 0.3490
0.9994 0.3255 0.6510
0.9997 0.1321 0.2643
0.0003 0.8679 0.7357
0.4998 0.5977 0.7866
0.4998 0.1890 0.7866
0.5002 0.8110 0.2134
0.5002 0.4023 0.2134
0.5000 0.0000 0.0000
0.0000 0.2848 0.0000
0.0000 0.7152 0.0000
0.4993 0.2398 0.4796
0.5007 0.7602 0.5204
```

***

Here is a relaxed structure of AgSb6Rh from the Alexandria database. Energies are from PBE-GGA.

Calculated density ... 7.022 g/cm3
E_form (uncorrected) ... -2.71 kcal/mol of atoms

Structure (POSCAR):
```
AgSb6Rh
1.0
7.7878 -0.0526 -2.7580
-3.8679 6.7730 -2.7250
0.0288 0.0991 8.4032
Ag Sb Rh
2 12 2
direct
0.0000 0.5000 0.0000
0.5000 0.0000 0.0000
0.1533 0.6375 0.7907
0.8467 0.3625 0.2093
0.8478 0.6664 0.5141
0.1522 0.3336 0.4859
0.8068 0.1443 0.6426
0.1932 0.8557 0.3574
0.4983 0.8358 0.6426
0.5017 0.1642 0.3574
0.6661 0.8055 0.1634
0.3339 0.1945 0.8366
0.6421 0.5026 0.8366
0.3579 0.4974 0.1634
0.0000 0.0000 0.5000
0.5000 0.5000 0.5000
```

***

Here is a relaxed structure of Ca7Sn2Sb2 from the Alexandria database. Energies are from PBE-GGA.

Calculated density ... 3.090 g/cm3
E_form (uncorrected) ... -14.75 kcal/mol of atoms

Structure (POSCAR):
```
Ca7Sn2Sb2
1.0
7.4422 -0.0035 -0.1934
0.0029 7.4310 0.0036
-0.6567 -0.0027 7.4157
Ca Sn Sb
7 2 2
direct
0.9998 0.2649 0.5003
0.5003 0.7351 0.9998
0.0002 0.7351 0.4997
0.4997 0.2649 0.0002
0.0000 0.0000 0.0000
0.5002 0.7361 0.4998
0.4998 0.2639 0.5002
0.7741 0.5000 0.7741
0.2259 0.5000 0.2259
0.7233 0.0000 0.2767
0.2767 0.0000 0.7233
```

***

Here is a relaxed structure of KVSe2 from the Alexandria database. Energies are from PBE-GGA.

Calculated density ... 3.446 g/cm3
E_form (uncorrected) ... -19.80 kcal/mol of atoms

Structure (POSCAR):
```
KVSe2
1.0
-1.3455 -0.8436 2.9678
-5.9120 -2.3088 -5.2447
2.5558 -8.5887 0.6247
K Se V
2 4 2
direct
0.6315 0.9836 0.3733
0.1313 0.4836 0.8733
0.6322 0.2459 0.6346
0.6309 0.7214 0.1120
0.3726 0.3200 0.2278
0.8908 0.6473 0.5188
0.2950 0.4222 0.4854
0.9684 0.5451 0.2612
```

***

Here is a relaxed structure of MgTlZnSn2 from the Alexandria database. Energies are from PBE-GGA.

Calculated density ... 5.235 g/cm3
ΔE_f ... 3.077 eV per formula unit

Structure (POSCAR):
```
MgTlZnSn2
1.0
-4.1985 -3.9113 0.3607
3.1629 -3.1701 2.4416
-1.6482 2.2335 5.0350
Mg Zn Tl Sn
1 1 1 2
direct
0.5000 0.5000 0.5000
0.0000 0.5000 0.0000
0.0000 0.0000 0.0000
0.0000 0.0000 0.5000
0.5000 0.0000 0.0000
```

***

Here is a relaxed structure of SrZrSi2 from the Alexandria database. Energies are from PBE-GGA.

Distance to the lowest polymorph of the same formula ... 279 meV/atom
Calculated density ... 4.349 g/cm3
E_form (uncorrected) ... -3.46 kcal/mol of atoms

Structure (POSCAR):
```
SrZrSi2
1.0
-0.9166 4.9115 1.6039
-0.4985 -1.0826 3.0303
5.1083 0.6080 1.0574
Si Sr Zr
2 1 1
direct
0.0000 0.0758 0.8750
0.5000 0.0741 0.3750
0.0000 0.5267 0.3750
0.5000 0.8235 0.8750
```

***

Here is a relaxed structure of V2GeCl from the Alexandria database. Energies are from PBE-GGA.

Distance to the lowest polymorph of the same formula ... 0 meV/atom
Calculated density ... 6.002 g/cm3
E_form (uncorrected) ... 5.11 kcal/mol of atoms

Structure (POSCAR):
```
V2GeCl
1.0
0.0000 3.0739 3.0739
3.0739 0.0000 3.0739
3.0739 3.0739 0.0000
Ge V Cl
1 2 1
direct
0.5000 0.5000 0.5000
0.2500 0.2500 0.2500
0.7500 0.7500 0.7500
0.0000 0.0000 0.0000
```

***

Here is a relaxed structure of MgOs3 from the Alexandria database. Energies are from PBE-GGA.

Calculated density ... 16.390 g/cm3
ΔE_f ... 0.910 eV per formula unit

Structure (POSCAR):
```
MgOs3
1.0
-0.6744 -2.6533 -0.3833
2.6740 -0.6377 -0.2904
0.5431 -1.2602 7.7684
Mg Os
1 3
direct
0.5000 0.5000 0.7500
0.0000 0.0000 0.0158
0.0000 0.0000 0.4842
0.5000 0.5000 0.2500
```

***

Here is a relaxed structure of DyHo5Al6 from the Alexandria database. Energies are from PBE-GGA.

Calculated density ... 6.902 g/cm3
ΔE_f ... -4.767 eV per formula unit

Structure (POSCAR):
```
DyHo5Al6
1.0
4.8074 -0.0287 1.6021
0.0386 7.1718 0.0129
-0.0011 -0.0144 8.0172
Al Ho Dy
6 5 1
direct
0.8330 0.7492 0.3341
0.8329 0.2508 0.3341
0.5000 0.2504 0.0000
0.5000 0.7496 0.0000
0.1671 0.7492 0.6659
0.1670 0.2508 0.6659
0.6663 0.5000 0.6673
0.3332 0.0000 0.3336
0.0000 0.5000 0.0000
0.6668 0.0000 0.6664
0.3337 0.5000 0.3327
0.0000 0.0000 0.0000
```

***

Here is a relaxed structure of Er4Ag from the Alexandria database. Energies are from PBE-GGA.

Distance to the lowest polymorph of the same formula ... 0 meV/atom
Calculated density ... 9.282 g/cm3
ΔE_f ... -0.009 eV per formula unit

Structure (POSCAR):
```
Er4Ag
1.0
6.6148 -0.7147 0.0000
-3.2085 5.8285 0.0000
-1.7031 -2.5569 7.6659
Er Ag
8 2
direct
0.6666 0.5479 0.7951
0.7528 0.8715 0.2049
0.7313 0.1160 0.8917
0.2243 0.8396 0.1083
0.3660 0.4813 0.3917
0.0896 0.9743 0.6083
0.1215 0.5028 0.7049
0.7979 0.4166 0.2951
0.2770 0.2770 0.0000
0.5270 0.0270 0.5000
```

***

Here is a relaxed structure of NpZn2Cd from the Alexandria database. Energies are from PBE-GGA.

Distance to the lowest polymorph of the same formula ... 27 meV/atom
Calculated density ... 9.851 g/cm3
ΔE_f ... 0.531 eV per formula unit

Structure (POSCAR):
```
NpZn2Cd
1.0
-3.0193 1.1727 3.6174
-4.3772 -2.0830 0.2807
-0.9385 -3.2133 3.5173
Np Zn Cd
1 2 1
direct
0.0000 0.0000 0.0000
0.2500 0.2500 0.2500
0.7500 0.7500 0.7500
0.5000 0.5000 0.5000
```